## Co3BiO8 (PBE with a Hubbard U)

Data for a geometry-optimized Co3BiO8 structure.

## Properties
The calculation puts the uncorrected energy at -0.2056 Ha/atom. The total magnetization is 6.005 Bohr magnetons per cell.

a b c (Å): 5.6606 5.6606 15.8414
angles (deg): 90.00 90.00 120.00
Last column: nearest neighbours and their distance in Å.
Space group R-3m (No. 166, hexagonal axes)
Unique sites:
Co  0.0000  0.5000  0.0000 [9 per cell]  6 O 1.87-1.91
Bi  0.0000  0.0000  0.5000 [3 per cell]  6 O 2.21
O  0.0000  0.0000  0.2762 [6 per cell]  3 Co 1.87
O  0.0203  0.5101  0.2667 [18 per cell]  2 Co 1.91